(1)
This record from the Alexandria database describes a geometry-optimized Ba2CaCd structure. The functional is GGA-PBE.

Cell and atoms, written as POSCAR:
```
Ba2CaCd
1.0
-2.256 3.083 6.327
2.256 -3.083 6.327
2.256 3.083 -6.327
Ba Ca Cd
2 1 1
Direct
0.214 0.214 0.000
0.786 0.786 0.000
0.500 0.000 0.500
0.000 0.500 0.500
```

Properties
Total moment (μB/f.u.): 0.00
Electronic total energy (eV for the cell shown): -7.0
Calculated formation energy (eV per formula unit): -0.2

---

(2)
This record from the Alexandria database describes a geometry-optimized LaRu2Au structure. The functional is GGA-PBE.

Cell and atoms, written as POSCAR:
```
LaRu2Au
1.0
3.089 0.000 0.000
0.000 4.422 0.000
-1.275 0.000 5.703
La Ru Au
1 2 1
Direct
0.000 0.000 0.000
0.427 0.000 0.445
0.750 0.500 0.330
0.397 0.500 0.745
```

Properties
Energy above the most stable polymorph in this dataset (kcal/mol of atoms): 0.46
Total moment (μB/f.u.): 0.00
Electronic total energy (eV for the cell shown): -26.3
Calculated formation energy (eV per formula unit): 0.4

---

(3)
This record from the Alexandria database describes a geometry-optimized HfTh2Al4Au3 structure. The functional is GGA-PBE.

Cell and atoms, written as POSCAR:
```
HfTh2Al4Au3
1.0
4.362 0.000 0.000
0.000 4.362 0.000
0.000 0.000 11.089
Hf Th Al Au
1 2 4 3
Direct
0.000 0.000 0.000
0.000 0.500 0.746
0.500 0.000 0.254
0.000 0.000 0.500
0.000 0.500 0.150
0.500 0.000 0.850
0.500 0.500 0.500
0.000 0.500 0.376
0.500 0.000 0.624
0.500 0.500 0.000
```

Properties
Total moment (μB/f.u.): 0.00
Electronic total energy (eV for the cell shown): -55.3
Calculated formation energy (eV per formula unit): -5.7

---

(4)
This record from the Alexandria database describes a geometry-optimized BeZn4 structure. The functional is GGA-PBE.

Cell and atoms, written as POSCAR:
```
BeZn4
1.0
-1.734 1.734 6.432
1.734 -1.734 6.432
1.734 1.734 -6.432
Be Zn
1 4
Direct
0.000 0.000 0.000
0.250 0.750 0.500
0.407 0.407 0.000
0.593 0.593 0.000
0.750 0.250 0.500
```

Properties
Energy above the most stable polymorph in this dataset (kcal/mol of atoms): 5.62
Total moment (μB/f.u.): 0.00
Electronic total energy (eV for the cell shown): -6.9
Calculated formation energy (eV per formula unit): 2.0